Entry 1:
BeAgTeO: optimized geometry, PBE.

SG	P4/nmm, No. 129
distance to the lowest polymorph of the same formula	0.610	eV per atom

Geometry as extended XYZ:
```
8
Lattice="4.417 0.000 0.000 0.000 4.417 0.000 0.000 0.000 7.291" Properties=species:S:1:pos:R:3 pbc="T T T"
Ag 1.104 3.313 0.000
Ag 3.313 1.104 0.000
Be 3.313 3.313 2.338
Be 1.104 1.104 4.953
O 1.104 1.104 6.400
O 3.313 3.313 0.891
Te 1.104 1.104 2.635
Te 3.313 3.313 4.655
```


Entry 2:
BeAgTeO: optimized geometry, PBE.

SG	P2_12_12_1, No. 19
distance to the lowest polymorph of the same formula	0.000	eV per atom

Geometry as extended XYZ:
```
16
Lattice="5.032 0.000 0.000 0.000 5.953 0.000 0.000 0.000 10.059" Properties=species:S:1:pos:R:3 pbc="T T T"
Te 2.485 4.513 7.931
Te 0.031 1.440 2.901
Te 2.547 1.537 7.158
Te 5.002 4.416 2.128
O 2.565 4.187 4.492
O 0.049 4.743 5.567
O 2.467 1.210 0.538
O 4.983 1.766 9.522
Ag 5.028 4.263 9.245
Ag 0.004 1.287 5.844
Ag 2.512 4.666 0.814
Ag 2.520 1.690 4.215
Be 1.049 1.480 0.375
Be 1.467 4.473 5.405
Be 3.983 4.456 4.654
Be 3.565 1.497 9.684
```


Entry 3:
BeAgTeO: optimized geometry, PBE.

SG	Pca2_1, No. 29
distance to the lowest polymorph of the same formula	0.470	eV per atom

Geometry as extended XYZ:
```
16
Lattice="-5.737 0.537 4.137 -4.197 -2.335 -5.517 0.747 -5.466 1.745" Properties=species:S:1:pos:R:3 pbc="T T T"
Te -3.925 -4.202 -1.179
Te -3.659 -1.529 -2.513
Te -5.846 -3.407 2.135
Te -5.580 -0.734 0.801
Ag -0.581 -3.312 0.595
Ag -2.907 -0.396 1.130
Ag -6.565 -4.778 -1.433
Ag -8.892 -1.862 -0.898
Be -7.916 -4.063 1.006
Be -3.415 -3.422 1.083
Be -1.586 -0.895 -1.377
Be -6.087 -1.535 -1.455
O -8.325 -4.926 -0.055
O -1.063 -0.868 -0.050
O -7.067 -2.345 -2.104
O -2.320 -3.449 1.999
```


Entry 4:
BeAgTeO: optimized geometry, PBE.

SG	P4/nmm, No. 129
distance to the lowest polymorph of the same formula	1.051	eV per atom

Geometry as extended XYZ:
```
8
Lattice="3.563 0.000 0.000 0.000 3.563 0.000 0.000 0.000 10.473" Properties=species:S:1:pos:R:3 pbc="T T T"
O 0.891 0.891 3.898
O 2.673 2.673 6.575
Ag 2.673 2.673 4.220
Ag 0.891 0.891 6.253
Be 2.673 0.891 0.000
Be 0.891 2.673 0.000
Te 2.673 2.673 8.735
Te 0.891 0.891 1.738
```


Entry 5:
BeAg2Os: optimized geometry, PBE.

SG	F-43m, No. 216
raw total energy	-4.4379	eV per atom

Geometry as extended XYZ:
```
4
Lattice="0.000 3.074 3.074 3.074 0.000 3.074 3.074 3.074 0.000" Properties=species:S:1:pos:R:3 pbc="T T T"
Ag 0.000 0.000 0.000
Ag 4.611 4.611 4.611
Be 3.074 3.074 3.074
Os 1.537 1.537 1.537
```


Entry 6:
Be2AgOs: optimized geometry, PBE.

SG	F-43m, No. 216
raw total energy	-4.7622	eV per atom

Geometry as extended XYZ:
```
4
Lattice="-3.874 0.838 1.286 -1.244 3.954 0.427 -2.775 1.610 -2.659" Properties=species:S:1:pos:R:3 pbc="T T T"
Be 0.000 0.000 0.000
Be -1.973 1.601 -0.236
Ag -3.947 3.201 -0.473
Os -5.920 4.802 -0.709
```


Entry 7:
BeReAgOs: optimized geometry, PBE.

SG	F-43m, No. 216
distance to the lowest polymorph of the same formula	0.000	eV per atom

Geometry as extended XYZ:
```
4
Lattice="0.000 3.040 3.040 3.040 0.000 3.040 3.040 3.040 0.000" Properties=species:S:1:pos:R:3 pbc="T T T"
Be 4.560 4.560 4.560
Ag 0.000 0.000 0.000
Re 3.040 3.040 3.040
Os 1.520 1.520 1.520
```


Entry 8:
ScBeAgP2: optimized geometry, PBE.

SG	P3m1, No. 156
raw total energy	-5.2858	eV per atom

Geometry as extended XYZ:
```
5
Lattice="-3.067 -1.874 -1.164 3.203 -1.875 0.710 -1.966 -0.867 6.578" Properties=species:S:1:pos:R:3 pbc="T T T"
P -0.336 -2.513 4.932
P -1.357 -2.042 0.731
Ag 0.364 -2.204 2.590
Sc -0.015 -0.006 0.049
Be -2.318 -2.465 3.947
```